Ce2HoSe2O2 GGA-PBE relaxed; raw formation energy = -2.406 eV/atom; volume = 20.90 Å³/atom; DFT total energy = -7.167 eV per atom; symmetry = I4/mmm, No. 139
1.0
4.3515 0.0000 0.0000
0.0000 4.3515 0.0000
-2.1758 -2.1758 7.7247
O Se Ce Ho
2 2 2 1
Cartesian
0.0000 2.1758 0.0000
2.1758 0.0000 0.0000
2.1758 2.1758 4.9293
0.0000 0.0000 2.7955
2.1758 2.1758 1.8596
0.0000 0.0000 5.8651
0.0000 0.0000 0.0000